Computed, not measured: a geometry-optimized LaDyAlGa structure at the PBE level of DFT.

Cell: 5.220 5.220 5.220 Å, 60.00 60.00 60.00°
Fractional positions:
La  0.000  0.000  0.000
Al  0.250  0.250  0.250
Ga  0.750  0.750  0.750
Dy  0.500  0.500  0.500

Output
- E_tot: -4.542 eV/atom
- Crystal system: cubic
- Formation energy from the elements: -0.467 eV per atom
- Symmetry: F-43m (216)